The following is a PBE calculation of crystalline NbGaPt3 at its relaxed geometry, from Alexandria.

Values from the calculation:
Magnetization = 0.000 Bohr magnetons per cell
Density of states at the Fermi level = 0.8461 states/eV/atom
E = -0.3991 Ry per atom
Space-group type = No. 221
ΔE to the lowest computed polymorph = 230 meV per atom
ΔE_f = 0.81 eV/atom

Cell and atoms, written as extended XYZ:
```
5
Lattice="4.9319 0.0000 0.0000 0.0000 4.9319 0.0000 0.0000 0.0000 4.9319" Properties=species:S:1:pos:R:3 pbc="T T T"
Pt 0.0000 0.0000 2.4660
Pt 0.0000 2.4660 0.0000
Pt 2.4660 0.0000 0.0000
Ga 2.4660 2.4660 2.4660
Nb 0.0000 0.0000 0.0000
```

The following is a PBE calculation of crystalline MgAlPBr2 at its relaxed geometry, from Alexandria.

Values from the calculation:
Magnetization = 0.000 Bohr magnetons per cell
Density of states at the Fermi level = 0.3883 states/eV/atom
Energy relative to the elements, uncorrected = 0.2169 eV per atom
E = -0.1912 Ry per atom
Space-group type = No. 123

Cell and atoms, written as extended XYZ:
```
5
Lattice="5.1465 0.0000 0.0000 0.0000 5.2186 0.0000 0.0000 0.0000 5.1465" Properties=species:S:1:pos:R:3 pbc="T T T"
Br 2.5732 0.0000 0.0000
Br 0.0000 0.0000 2.5732
Al 0.0000 2.6093 0.0000
P 0.0000 0.0000 0.0000
Mg 2.5732 2.6093 2.5732
```

The following is a PBE calculation of crystalline TaBe2Fe at its relaxed geometry, from Alexandria.

Values from the calculation:
Magnetization = 0.930 Bohr magnetons per cell
Density of states at the Fermi level = 0.4871 states/eV/atom
E = -0.5166 Ry per atom
Space-group type = No. 38
ΔE to the lowest computed polymorph = 0 meV per atom
ΔE_f = -0.09 eV/atom

Cell and atoms, written as extended XYZ:
```
4
Lattice="3.4024 0.0000 0.0000 0.0000 2.9375 0.0126 0.0000 1.4461 4.4724" Properties=species:S:1:pos:R:3 pbc="T T T"
Be 0.0000 0.5500 0.0807
Be 1.7012 0.5461 1.1626
Fe 0.0000 2.0105 1.9185
Ta 1.7012 3.4688 3.5657
```

The following is a PBE calculation of crystalline Ca3LaW at its relaxed geometry, from Alexandria.

Values from the calculation:
Magnetization = 0.303 Bohr magnetons per cell
Density of states at the Fermi level = 2.0347 states/eV/atom
E = -0.1965 Ry per atom
Space-group type = No. 221
ΔE to the lowest computed polymorph = 1176 meV per atom
ΔE_f = 2.10 eV/atom

Cell and atoms, written as extended XYZ:
```
5
Lattice="-1.4612 4.8531 -2.1646 0.6248 -2.0725 -5.0683 -5.2771 -1.5892 -0.0007" Properties=species:S:1:pos:R:3 pbc="T T T"
Ca -0.7306 2.4265 -1.0823
Ca -2.6385 -0.7946 -0.0004
Ca 0.3124 -1.0362 -2.5341
La 0.0000 0.0000 0.0000
W -3.0567 0.5957 -3.6168
```